# 1
ScMnCd2 | PBE | optimized geometry

abc: 5.191 5.191 5.289
angles: 78.79 78.79 35.73
Atoms (fractional coordinates):
Cd (0.009, 0.009, 0.987)
Cd (0.491, 0.491, 0.513)
Sc (0.250, 0.250, 0.250)
Mn (0.750, 0.750, 0.750)

Output
**Raw total energy**: -4.26 eV/atom
**V**: 20.37 Å³ per atom


# 2
ScMnCd4 | PBE | optimized geometry

abc: 5.653 5.653 5.653
angles: 60.00 60.00 60.00
Atoms (fractional coordinates):
Mn (0.750, 0.750, 0.750)
Cd (0.874, 0.375, 0.375)
Sc (0.000, 0.000, 0.000)
Cd (0.375, 0.375, 0.874)
Cd (0.375, 0.375, 0.375)
Cd (0.375, 0.874, 0.375)

Output
**Raw total energy**: -3.05 eV/atom
**V**: 21.30 Å³ per atom